(1)
{
  "formula": "ScReF2",
  "functional": "PBE",
  "state": "relaxed",
  "rho_g_cm3": 8.83,
  "sg": "No. 166",
  "relative_energy_mev_per_atom": 0,
  "e_form_raw_ev_per_atom": -1.39,
  "volume_a3_per_cell": 50.6,
  "lattice_angstrom": [[1.610, 0.000, 7.517], [-0.805, 1.395, 7.517], [-0.805, -1.395, 7.517]],
  "species": ["Sc", "Re", "F", "F"],
  "frac_coords": [[0.500, 0.500, 0.500], [0.000, 0.000, 0.000], [0.904, 0.904, 0.904], [0.096, 0.096, 0.096]]
}

---

(2)
{
  "formula": "Sc2ReF",
  "functional": "PBE",
  "state": "relaxed",
  "rho_g_cm3": 7.75,
  "sg": "No. 166",
  "relative_energy_mev_per_atom": 410,
  "e_form_raw_ev_per_atom": -0.67,
  "volume_a3_per_cell": 63.3,
  "lattice_angstrom": [[-5.039, 1.420, 7.377], [-3.415, -0.733, 8.345], [-2.452, 1.963, 8.483]],
  "species": ["Sc", "Sc", "Re", "F"],
  "frac_coords": [[0.901, 0.901, 0.901], [0.099, 0.099, 0.099], [0.000, 0.000, 0.000], [0.500, 0.500, 0.500]]
}

---

(3)
{
  "formula": "Sc3ReF",
  "functional": "PBE",
  "state": "relaxed",
  "rho_g_cm3": 4.28,
  "sg": "No. 221",
  "relative_energy_mev_per_atom": 784,
  "e_form_raw_ev_per_atom": 0.01,
  "volume_a3_per_cell": 132.0,
  "lattice_angstrom": [[-0.323, -3.380, -3.794], [4.966, 0.594, -0.953], [1.075, -3.761, 3.260]],
  "species": ["Sc", "Sc", "Sc", "Re", "F"],
  "frac_coords": [[0.000, 0.500, 0.000], [0.000, 0.000, 0.500], [0.500, 0.000, 0.000], [0.000, 0.000, 0.000], [0.500, 0.500, 0.500]]
}

---

(4)
{
  "formula": "ScReF2",
  "functional": "PBE",
  "state": "relaxed",
  "rho_g_cm3": 8.22,
  "sg": "No. 225",
  "relative_energy_mev_per_atom": 1073,
  "e_form_raw_ev_per_atom": -0.32,
  "volume_a3_per_cell": 54.4,
  "lattice_angstrom": [[0.608, -3.627, -2.135], [-3.124, -1.605, -2.398], [0.330, 0.058, -4.240]],
  "species": ["Sc", "Re", "F", "F"],
  "frac_coords": [[0.000, 0.000, 0.000], [0.500, 0.500, 0.500], [0.250, 0.250, 0.250], [0.750, 0.750, 0.750]]
}

---

(5)
{
  "formula": "ScReF3",
  "functional": "PBE",
  "state": "relaxed",
  "rho_g_cm3": 6.07,
  "sg": "No. 221",
  "relative_energy_mev_per_atom": 0,
  "e_form_raw_ev_per_atom": -1.41,
  "volume_a3_per_cell": 78.8,
  "lattice_angstrom": [[-1.619, 3.412, 2.031], [-3.964, -1.511, -0.621], [0.221, -2.112, 3.725]],
  "species": ["Sc", "Re", "F", "F", "F"],
  "frac_coords": [[0.000, 0.000, 0.000], [0.500, 0.500, 0.500], [0.000, 0.500, 0.000], [0.000, 0.000, 0.500], [0.500, 0.000, 0.000]]
}

---

(6)
{
  "formula": "ScReF3",
  "functional": "PBE",
  "state": "relaxed",
  "rho_g_cm3": 6.27,
  "sg": "No. 221",
  "relative_energy_mev_per_atom": 788,
  "e_form_raw_ev_per_atom": -0.63,
  "volume_a3_per_cell": 76.3,
  "lattice_angstrom": [[-1.980, -3.736, 0.330], [3.746, -1.988, -0.037], [0.188, 0.274, 4.228]],
  "species": ["Sc", "Re", "F", "F", "F"],
  "frac_coords": [[0.500, 0.500, 0.500], [0.000, 0.000, 0.000], [0.000, 0.500, 0.000], [0.000, 0.000, 0.500], [0.500, 0.000, 0.000]]
}